No. 1
A relaxed structure of UInCl4. Source: Alexandria, functional PBE.

abc: 6.8613 7.5332 9.0550
angles: 103.95 112.29 90.01
Last column: nearest neighbours and their distance in Å.
Element x y z (fractional)
In: 0.7306 0.7500 0.9998  4 Cl 2.97-3.17
In: 0.2694 0.2500 0.0002  4 Cl 2.97-3.17
Cl: 0.5070 0.9663 0.1964  1 U 2.72, 1 In 2.98
Cl: 0.4930 0.0337 0.8036  1 U 2.72, 1 In 2.98
Cl: 0.1274 0.1632 0.3813  2 U 2.78
Cl: 0.6894 0.4662 0.1962  1 U 2.72, 1 In 2.97
Cl: 0.3106 0.5338 0.8038  1 U 2.72, 1 In 2.97
Cl: 0.7458 0.3365 0.6187  2 U 2.78-2.79
Cl: 0.8726 0.8368 0.6187  2 U 2.78
Cl: 0.2542 0.6635 0.3813  2 U 2.78-2.79
U: 0.5000 0.0000 0.5000  6 Cl 2.72-2.78
U: 0.0000 0.5000 0.5000  6 Cl 2.72-2.79

Properties
formation energy without anion corrections = -1.3833 eV/atom

No. 2
A relaxed structure of Pm3Sn5. Source: Alexandria, functional PBE.

abc: 4.6688 4.6688 10.6871
angles: 102.62 102.62 90.00
Last column: nearest neighbours and their distance in Å.
Element x y z (fractional)
Sn: 0.3715 0.3715 0.7431  6 Pm 3.33-3.40, 6 Sn 3.40-3.53
Sn: 0.9979 0.4979 0.9958  4 Pm 3.19-3.25, 8 Sn 3.30-3.53
Sn: 0.7500 0.2500 0.5000  4 Pm 3.30, 4 Sn 3.40
Sn: 0.5021 0.0021 0.0042  4 Pm 3.19-3.25, 8 Sn 3.30-3.53
Sn: 0.6285 0.6285 0.2569  6 Pm 3.33-3.40, 6 Sn 3.40-3.53
Pm: 0.1088 0.1088 0.2176  8 Sn 3.19-3.33
Pm: 0.2500 0.7500 0.5000  8 Sn 3.30-3.40
Pm: 0.8912 0.8912 0.7824  8 Sn 3.19-3.33

Properties
formation energy = -0.627 eV/atom
relative energy among the computed polymorphs = 19 meV per atom

No. 3
A relaxed structure of RbNa7Cd5. Source: Alexandria, functional PBE.

abc: 6.2546 8.5745 8.5745
angles: 81.18 68.61 68.61
Last column: nearest neighbours and their distance in Å.
Element x y z (fractional)
Cd: 0.4991 0.5074 0.9947  3 Cd 3.13-3.14, 7 Na 3.25-3.50
Cd: 0.9988 0.5074 0.9947  3 Cd 3.13-3.14, 7 Na 3.25-3.50
Cd: 0.7285 0.7715 0.7715  4 Cd 3.14, 6 Na 3.40-3.49
Cd: 0.4991 0.9947 0.5074  3 Cd 3.13-3.14, 7 Na 3.25-3.50
Cd: 0.9988 0.9947 0.5074  3 Cd 3.13-3.14, 7 Na 3.25-3.50
Na: 0.9947 0.6572 0.3534  5 Cd 3.37-3.50, 4 Na 3.39-3.58
Na: 0.6574 0.3426 0.3426  5 Na 3.38-3.69, 4 Cd 3.42
Na: 0.3450 0.6550 0.6550  6 Cd 3.32-3.40, 3 Na 3.57-3.70
Na: 0.9947 0.3534 0.6572  5 Cd 3.37-3.50, 4 Na 3.39-3.58
Na: 0.5020 0.2084 0.7876  5 Cd 3.25-3.49, 3 Na 3.49-3.53
Na: 0.2708 0.2292 0.2292  4 Cd 3.27, 6 Na 3.38-3.58
Na: 0.5020 0.7876 0.2084  5 Cd 3.25-3.49, 3 Na 3.49-3.53
Rb: 0.0089 0.9911 0.9911  10 Na 3.84-4.14, 6 Cd 4.01-4.17

Properties
formation energy = -0.074 eV/atom

Number 1: electronic total energy -4.95 eV per atom, spin magnetization 3.0 μB/f.u.. Number 2: electronic total energy -4.91 eV per atom, spin magnetization 0.0 μB/f.u.. Number 3: electronic total energy -1.21 eV per atom, spin magnetization 0.0 μB/f.u..